Material: HfInAg2Pd
Method: DFT, PBE
State: relaxed

a = 5.2295 Å, b = 5.2295 Å, c = 4.8717 Å
α = 90.00°, β = 90.00°, γ = 90.00°
With the nearest neighbours (Å) after each atom.
Element x y z (fractional)
Hf: 0.0000 0.0000 0.0000  2 Pd 2.44
In: 0.5000 0.5000 0.0000  8 Ag 3.57, 4 Hf 3.70
Ag: 0.0000 0.5000 0.5000  2 Pd 2.61
Ag: 0.5000 0.0000 0.5000  2 Pd 2.61
Pd: 0.0000 0.0000 0.5000  2 Hf 2.44, 4 Ag 2.61

Summary:
For the formation energy, the calculation gives 0.492 eV/atom. As for the spin magnetization: 0.000 Bohr magnetons per cell.